Entry 1:
Ac2Bi3AsPd4 | PBE | optimized geometry

formation energy from the elements	-704.0	meV per atom
D(E_F)	4.4	states/eV per cell
total magnetic moment	0.0	μB per formula unit

a b c (Å): 4.853 4.853 10.570
angles (deg): 90.00 90.00 90.00
Positions (direct):
Ac (0.500, 0.000, 0.250)
Bi (0.500, 0.000, 0.870)
Pd (0.000, 0.000, 0.000)
As (0.500, 0.500, 0.500)
Bi (0.000, 0.000, 0.500)
Pd (0.000, 0.500, 0.388)
Pd (0.500, 0.500, 0.000)
Bi (0.000, 0.500, 0.130)
Pd (0.500, 0.000, 0.612)
Ac (0.000, 0.500, 0.750)

Entry 2:
AcBiAs2Pd2 | PBE | optimized geometry

formation energy from the elements	-720.7	meV per atom
D(E_F)	1.5	states/eV per cell
total magnetic moment	0.0	μB per formula unit

a b c (Å): 4.394 4.394 8.246
angles (deg): 90.00 90.00 120.00
Positions (direct):
As (0.333, 0.667, 0.762)
Pd (0.667, 0.333, 0.711)
As (0.667, 0.333, 0.238)
Pd (0.333, 0.667, 0.289)
Ac (0.000, 0.000, 0.000)
Bi (0.000, 0.000, 0.500)

Entry 3:
Ac2BiAs3Pd4 | PBE | optimized geometry

formation energy from the elements	-840.8	meV per atom
D(E_F)	5.0	states/eV per cell
total magnetic moment	0.0	μB per formula unit

a b c (Å): 4.524 4.524 10.835
angles (deg): 90.00 90.00 90.00
Positions (direct):
As (0.000, 0.500, 0.124)
Ac (0.500, 0.000, 0.228)
Pd (0.000, 0.500, 0.354)
As (0.000, 0.000, 0.500)
Bi (0.500, 0.500, 0.500)
Pd (0.000, 0.000, 0.000)
Pd (0.500, 0.000, 0.646)
Pd (0.500, 0.500, 0.000)
As (0.500, 0.000, 0.876)
Ac (0.000, 0.500, 0.772)

Entry 4:
AcPmBiAs | PBE | optimized geometry

formation energy from the elements	-1200.4	meV per atom
D(E_F)	0.6	states/eV per cell
total magnetic moment	0.0	μB per formula unit

a b c (Å): 4.538 4.538 7.961
angles (deg): 73.44 73.44 60.00
Positions (direct):
Ac (0.993, 0.993, 0.021)
Bi (0.756, 0.756, 0.733)
As (0.245, 0.245, 0.265)
Pm (0.506, 0.506, 0.481)

Entry 5:
AcPrBiAs | PBE | optimized geometry

formation energy from the elements	-1205.0	meV per atom
D(E_F)	0.7	states/eV per cell
total magnetic moment	0.0	μB per formula unit

a b c (Å): 4.572 4.572 8.017
angles (deg): 73.43 73.43 60.00
Positions (direct):
Ac (0.257, 0.257, 0.229)
As (0.004, 0.004, 0.989)
Pr (0.744, 0.744, 0.769)
Bi (0.496, 0.496, 0.513)

Entry 6:
AcBi2AsPt2 | PBE | optimized geometry

formation energy from the elements	-259.5	meV per atom
D(E_F)	3.6	states/eV per cell
total magnetic moment	0.0	μB per formula unit

a b c (Å): 5.575 5.575 6.862
angles (deg): 113.97 113.97 90.00
Positions (direct):
Bi (0.750, 0.250, 0.500)
Pt (0.780, 0.780, 0.560)
Ac (0.500, 0.500, 0.000)
Pt (0.220, 0.220, 0.440)
Bi (0.250, 0.750, 0.500)
As (0.000, 0.000, 0.000)

Entry 7:
Ac2BiAsRh6 | PBE | optimized geometry

formation energy from the elements	-453.0	meV per atom
D(E_F)	2.2	states/eV per cell
total magnetic moment	0.0	μB per formula unit

a b c (Å): 6.513 7.269 7.229
angles (deg): 53.82 62.76 89.77
Positions (direct):
Rh (0.256, 0.163, 0.486)
Rh (0.255, 0.741, 0.910)
Rh (0.745, 0.259, 0.090)
Rh (0.744, 0.837, 0.514)
Rh (0.830, 0.742, 0.913)
Ac (0.257, 0.744, 0.486)
As (0.500, 0.500, 0.000)
Ac (0.743, 0.256, 0.514)
Bi (0.000, 0.000, 0.000)
Rh (0.170, 0.258, 0.087)

Entry 8:
Ac2BiAs3Rh4 | PBE | optimized geometry

formation energy from the elements	-785.7	meV per atom
D(E_F)	8.1	states/eV per cell
total magnetic moment	0.6	μB per formula unit

a b c (Å): 4.445 4.445 10.610
angles (deg): 90.00 90.00 90.00
Positions (direct):
Rh (0.500, 0.000, 0.644)
Bi (0.500, 0.500, 0.500)
Ac (0.500, 0.000, 0.238)
As (0.000, 0.000, 0.500)
Ac (0.000, 0.500, 0.762)
As (0.500, 0.000, 0.876)
As (0.000, 0.500, 0.124)
Rh (0.500, 0.500, 0.000)
Rh (0.000, 0.000, 0.000)
Rh (0.000, 0.500, 0.356)

Entry 9:
AcBiAsS | PBE | optimized geometry

D(E_F)	1.4	states/eV per cell
total magnetic moment	0.0	μB per formula unit
formation energy from raw total energies	-94.0	kJ per mole of atoms

a b c (Å): 5.427 5.427 8.008
angles (deg): 90.00 90.00 90.00
Positions (direct):
As (0.000, 0.500, 0.861)
Bi (0.000, 0.000, 0.000)
Ac (0.500, 0.000, 0.655)
S (0.000, 0.000, 0.500)
S (0.500, 0.500, 0.500)
As (0.500, 0.000, 0.139)
Bi (0.500, 0.500, 0.000)
Ac (0.000, 0.500, 0.345)

Entry 10:
Ac4BiAsS2 | PBE | optimized geometry

D(E_F)	3.4	states/eV per cell
total magnetic moment	0.0	μB per formula unit
formation energy from raw total energies	-153.7	kJ per mole of atoms

a b c (Å): 4.536 7.751 7.895
angles (deg): 70.31 90.00 90.00
Positions (direct):
Ac (0.000, 0.768, 0.731)
Bi (0.500, 0.500, 0.000)
Ac (0.000, 0.232, 0.269)
Ac (0.500, 0.759, 0.259)
As (0.000, 0.500, 0.500)
Ac (0.500, 0.241, 0.741)
S (0.000, 0.000, 0.000)
S (0.500, 0.000, 0.500)

Entry 11:
Ac6Bi3SbAs2 | PBE | optimized geometry

D(E_F)	1.5	states/eV per cell
total magnetic moment	0.0	μB per formula unit
formation energy from raw total energies	-113.8	kJ per mole of atoms

a b c (Å): 4.748 9.537 10.641
angles (deg): 103.20 102.89 90.00
Positions (direct):
Ac (0.333, 0.904, 0.665)
Ac (0.329, 0.427, 0.658)
Bi (0.500, 0.500, 0.000)
Bi (0.835, 0.168, 0.671)
As (0.832, 0.665, 0.664)
As (0.168, 0.335, 0.336)
Bi (0.165, 0.832, 0.329)
Ac (0.667, 0.096, 0.335)
Sb (0.500, 0.000, 0.000)
Ac (0.671, 0.573, 0.342)
Ac (0.006, 0.251, 0.012)
Ac (0.994, 0.749, 0.988)

Entry 12:
Ac6BiSb3As2 | PBE | optimized geometry

D(E_F)	1.2	states/eV per cell
total magnetic moment	0.0	μB per formula unit
formation energy from raw total energies	-120.7	kJ per mole of atoms

a b c (Å): 4.727 9.480 10.574
angles (deg): 102.95 102.92 90.00
Positions (direct):
Ac (0.995, 0.743, 0.990)
As (0.168, 0.336, 0.336)
Ac (0.670, 0.095, 0.339)
Bi (0.500, 0.000, 0.000)
Sb (0.500, 0.500, 0.000)
Ac (0.330, 0.424, 0.659)
Sb (0.164, 0.832, 0.329)
Ac (0.005, 0.257, 0.010)
As (0.832, 0.664, 0.664)
Sb (0.836, 0.168, 0.671)
Ac (0.330, 0.905, 0.661)
Ac (0.670, 0.576, 0.341)